[1]
Sr4As2Cl3: optimized geometry, PBE-GGA.

a = 4.4401 Å, b = 4.4401 Å, c = 17.8101 Å
α = 90.11°, β = 89.89°, γ = 120.00°
Last column: nearest neighbours and their distance in Å.
Atoms (fractional coordinates):
1 Sr 0.3338 0.6662 0.8857  3 As 3.05, 3 Cl 3.27
2 Sr 0.9984 0.0016 0.3190  3 Cl 2.92, 3 As 3.25
3 Sr 0.0016 0.9984 0.6810  3 Cl 2.92, 3 As 3.25
4 Sr 0.6662 0.3338 0.1143  3 As 3.05, 3 Cl 3.27
5 As 0.6677 0.3323 0.7930  6 Sr 3.05-3.25
6 As 0.3323 0.6677 0.2070  6 Sr 3.05-3.25
7 Cl 0.6646 0.3354 0.3970  3 Sr 2.92
8 Cl 0.0000 0.0000 0.0000  6 Sr 3.27
9 Cl 0.3354 0.6646 0.6030  3 Sr 2.92

Results
symmetry: C2/m
uncorrected formation energy: -15.47 eV/f.u.
DFT total energy: -4.1146 eV per atom
size of the total moment: 0.60 μB per formula unit

[2]
Rb3Cd4Rh: optimized geometry, PBE-GGA.

a = 7.5542 Å, b = 7.5542 Å, c = 7.5542 Å
α = 121.46°, β = 81.46°, γ = 128.80°
Last column: nearest neighbours and their distance in Å.
Atoms (fractional coordinates):
1 Rb 0.5674 0.2439 0.8113  2 Rb 3.60-3.78, 6 Cd 3.67-3.88, 2 Rh 3.76
2 Rb 0.9101 0.0000 0.9101  2 Rh 3.91, 10 Cd 4.06-4.27, 6 Rb 4.18-4.32
3 Rb 0.5674 0.7561 0.3235  2 Rb 3.60-3.78, 6 Cd 3.67-3.88, 2 Rh 3.76
4 Cd 0.2123 0.7114 0.9236  1 Rh 2.68
5 Cd 0.2123 0.2886 0.5009  1 Rh 2.68
6 Cd 0.5900 0.2603 0.3297  1 Rh 2.70
7 Cd 0.0695 0.7397 0.3297  1 Rh 2.70
8 Rh 0.0221 0.5000 0.5221  4 Cd 2.68-2.70

Results
symmetry: Imm2
energy relative to the elements: 10 meV/atom
DFT total energy: -1.7291 eV per atom
size of the total moment: 0.00 μB per formula unit

[3]
Ac2Sm5Er2: optimized geometry, PBE-GGA.

a = 3.7328 Å, b = 12.3491 Å, c = 9.7119 Å
α = 52.55°, β = 101.36°, γ = 81.51°
Last column: nearest neighbours and their distance in Å.
Atoms (fractional coordinates):
1 Ac 0.7792 0.6433 0.1898  7 Sm 3.66-4.05, 2 Ac 3.73, 2 Er 3.94-3.95
2 Ac 0.2208 0.3567 0.8102  7 Sm 3.66-4.05, 2 Ac 3.73, 2 Er 3.94-3.95
3 Sm 0.8089 0.7959 0.4163  6 Sm 3.42-3.73, 2 Er 3.48-3.49, 1 Ac 3.66
4 Sm 0.1911 0.2041 0.5837  6 Sm 3.42-3.73, 2 Er 3.48-3.49, 1 Ac 3.66
5 Sm 0.5907 0.6281 0.8121  6 Sm 3.37-3.73, 2 Er 3.45, 1 Ac 3.72
6 Sm 0.4093 0.3719 0.1879  6 Sm 3.37-3.73, 2 Er 3.45, 1 Ac 3.72
7 Sm 0.0000 0.0000 0.0000  6 Sm 3.52-3.73, 2 Er 3.60, 4 Ac 3.91-3.94
8 Er 0.8985 0.9111 0.7071  6 Sm 3.45-3.84, 4 Er 3.53-3.73
9 Er 0.1015 0.0889 0.2929  6 Sm 3.45-3.84, 4 Er 3.53-3.73

Results
symmetry: P-1
energy relative to the elements: 121 meV/atom
DFT total energy: -4.4277 eV per atom
size of the total moment: 0.00 μB per formula unit

[4]
PdSe2NO: optimized geometry, PBE-GGA.

a = 5.0918 Å, b = 5.0918 Å, c = 3.6365 Å
α = 90.00°, β = 90.00°, γ = 90.00°
Last column: nearest neighbours and their distance in Å.
Atoms (fractional coordinates):
1 O 0.5000 0.5000 0.5000  8 Se 3.13
2 Se 0.0000 0.5000 0.0000  2 Pd 2.55
3 Se 0.5000 0.0000 0.0000  2 Pd 2.55
4 Pd 0.0000 0.0000 0.0000  2 N 1.82
5 N 0.0000 0.0000 0.5000  2 Pd 1.82

Results
symmetry: P4/mmm
uncorrected formation energy: 6.98 eV/f.u.
DFT total energy: -3.6933 eV per atom
size of the total moment: 0.34 μB per formula unit

[5]
Dy2YAg: optimized geometry, PBE-GGA.

a = 3.5560 Å, b = 3.5560 Å, c = 10.6831 Å
α = 80.42°, β = 80.42°, γ = 60.00°
Last column: nearest neighbours and their distance in Å.
Atoms (fractional coordinates):
1 Y 0.5000 0.5000 0.5000  6 Dy 3.55, 6 Y 3.56
2 Ag 0.0000 0.0000 0.0000  6 Dy 3.12
3 Dy 0.2586 0.2586 0.2243  3 Ag 3.12
4 Dy 0.7414 0.7414 0.7757  3 Ag 3.12

Results
symmetry: R-3m
energy relative to the elements: -20 meV/atom
DFT total energy: -4.6494 eV per atom
size of the total moment: 0.00 μB per formula unit

[6]
NpMnH2: optimized geometry, PBE-GGA.

a = 2.7758 Å, b = 2.7758 Å, c = 5.8373 Å
α = 76.25°, β = 76.25°, γ = 60.00°
Last column: nearest neighbours and their distance in Å.
Atoms (fractional coordinates):
1 Np 0.5000 0.5000 0.5000  6 H 2.49, 6 Np 2.78
2 H 0.2795 0.2795 0.1614  3 Mn 1.84
3 H 0.7205 0.7205 0.8386  3 Mn 1.84
4 Mn 0.0000 0.0000 0.0000  6 H 1.84

Results
symmetry: R-3m
DFT total energy: -7.1733 eV per atom
size of the total moment: 4.82 μB per formula unit